(1)
# Sm2TeS, relaxed, DFT PBE-GGA
data_Sm2TeS
_chemical_formula_sum 'Sm6 Te3 S3'
_cell_length_a 4.1822
_cell_length_b 4.1822
_cell_length_c 21.2197
_cell_angle_alpha 90.00
_cell_angle_beta 90.00
_cell_angle_gamma 120.00
_space_group_name_H-M_alt 'R -3 m'
_space_group_IT_number 166
_space_group_name_Hall '-R 3 2"'
loop_
_atom_site_label
_atom_site_type_symbol
_atom_site_fract_x
_atom_site_fract_y
_atom_site_fract_z
_atom_site_occupancy
Sm1 Sm 0.0000 0.0000 0.2347 1
Te1 Te 0.0000 0.0000 0.0000 1
S1 S 0.0000 0.0000 0.5000 1
# Crystal system: trigonal
# Energy above the most stable polymorph in this dataset, kJ/mol of atoms: 1.4
# E_tot, eV/atom: -5.90
# Raw formation energy, eV/atom: -1.72
# ρ, g/cm3: 7.1

---

(2)
# SmTeS4, relaxed, DFT PBE-GGA
data_SmTeS4
_chemical_formula_sum 'Sm2 Te2 S8'
_cell_length_a 6.219
_cell_length_b 6.886
_cell_length_c 6.986
_cell_angle_alpha 90.00
_cell_angle_beta 97.18
_cell_angle_gamma 90.00
_space_group_name_H-M_alt 'P 1 21/c 1'
_space_group_IT_number 14
loop_
_space_group_symop_operation_xyz
'x,y,z'
'-x,-y,-z'
'-x,y+1/2,-z+1/2'
'x,-y+1/2,z+1/2'
loop_
_atom_site_label
_atom_site_type_symbol
_atom_site_fract_x
_atom_site_fract_y
_atom_site_fract_z
_atom_site_occupancy
Sm1 Sm 0.000 0.000 0.000 1
Te1 Te 0.500 0.000 0.500 1
S1 S 0.141 0.156 0.364 1
S2 S 0.295 0.721 0.255 1
# Crystal system: monoclinic
# E_tot, eV/atom: -4.66
# Raw formation energy, eV/atom: -0.60
# ρ, g/cm3: 4.5

---

(3)
# Sm2TeS4, relaxed, DFT PBE-GGA
data_Sm2TeS4
_chemical_formula_sum 'Sm4 Te2 S8'
_cell_length_a 6.244
_cell_length_b 6.244
_cell_length_c 13.909
_cell_angle_alpha 90.00
_cell_angle_beta 90.00
_cell_angle_gamma 90.00
_space_group_name_H-M_alt 'I -4 2 m'
_space_group_IT_number 121
_space_group_name_Hall 'I -4 2'
loop_
_atom_site_label
_atom_site_type_symbol
_atom_site_fract_x
_atom_site_fract_y
_atom_site_fract_z
_atom_site_occupancy
Sm1 Sm 0.000 0.500 0.250 1
Te1 Te 0.000 0.000 0.000 1
S1 S 0.226 0.226 0.143 1
# Crystal system: tetragonal
# E_tot, eV/atom: -5.09
# Raw formation energy, eV/atom: -0.94
# ρ, g/cm3: 3.4

---

(4)
# Sm3Te2S2, relaxed, DFT PBE-GGA
data_Sm3Te2S2
_chemical_formula_sum 'Sm6 Te4 S4'
_cell_length_a 13.587
_cell_length_b 4.122
_cell_length_c 7.555
_cell_angle_alpha 90.00
_cell_angle_beta 98.21
_cell_angle_gamma 90.00
_space_group_name_H-M_alt 'C 1 2/m 1'
_space_group_IT_number 12
loop_
_space_group_symop_operation_xyz
'x,y,z'
'-x,-y,-z'
'-x,y,-z'
'x,-y,z'
'x+1/2,y+1/2,z'
'-x+1/2,-y+1/2,-z'
'-x+1/2,y+1/2,-z'
'x+1/2,-y+1/2,z'
loop_
_atom_site_label
_atom_site_type_symbol
_atom_site_fract_x
_atom_site_fract_y
_atom_site_fract_z
_atom_site_occupancy
Sm1 Sm 0.000 0.000 0.000 1
Sm2 Sm 0.240 0.000 0.761 1
Te1 Te 0.116 0.000 0.380 1
S1 S 0.130 0.500 0.905 1
# Crystal system: monoclinic
# Energy above the most stable polymorph in this dataset, kJ/mol of atoms: 0.0
# E_tot, eV/atom: -5.84
# Raw formation energy, eV/atom: -1.74
# ρ, g/cm3: 6.1

---

(5)
# Sm2Te2S, relaxed, DFT PBE-GGA
data_Sm2Te2S
_chemical_formula_sum 'Sm8 Te8 S4'
_cell_length_a 8.099
_cell_length_b 11.930
_cell_length_c 6.479
_cell_angle_alpha 90.00
_cell_angle_beta 90.00
_cell_angle_gamma 90.00
_space_group_name_H-M_alt 'I b a m'
_space_group_IT_number 72
_space_group_name_Hall '-I 2 2c'
loop_
_atom_site_label
_atom_site_type_symbol
_atom_site_fract_x
_atom_site_fract_y
_atom_site_fract_z
_atom_site_occupancy
Sm1 Sm 0.232 0.103 0.000 1
Te1 Te 0.129 0.355 0.000 1
S1 S 0.000 0.000 0.250 1
# Crystal system: orthorhombic
# Energy above the most stable polymorph in this dataset, kJ/mol of atoms: 1.5
# E_tot, eV/atom: -5.57
# Raw formation energy, eV/atom: -1.60
# ρ, g/cm3: 6.2

---

(6)
# Sm4TeS2, relaxed, DFT PBE-GGA
data_Sm4TeS2
_chemical_formula_sum 'Sm12 Te3 S6'
_cell_length_a 4.0638
_cell_length_b 4.0638
_cell_length_c 40.5428
_cell_angle_alpha 90.00
_cell_angle_beta 90.00
_cell_angle_gamma 120.00
_space_group_name_H-M_alt 'R -3 m'
_space_group_IT_number 166
_space_group_name_Hall '-R 3 2"'
loop_
_atom_site_label
_atom_site_type_symbol
_atom_site_fract_x
_atom_site_fract_y
_atom_site_fract_z
_atom_site_occupancy
Sm1 Sm 0.0000 0.0000 0.1285 1
Sm2 Sm 0.0000 0.0000 0.2809 1
Te1 Te 0.0000 0.0000 0.0000 1
S1 S 0.0000 0.0000 0.4233 1
# Crystal system: trigonal
# E_tot, eV/atom: -5.84
# Raw formation energy, eV/atom: -1.52
# ρ, g/cm3: 6.8

---

(7)
# Sm3Te5S12, relaxed, DFT PBE-GGA
data_Sm3Te5S12
_chemical_formula_sum 'Sm24 Te40 S96'
_cell_length_a 16.312
_cell_length_b 16.312
_cell_length_c 16.312
_cell_angle_alpha 90.00
_cell_angle_beta 90.00
_cell_angle_gamma 90.00
_space_group_name_H-M_alt 'I a -3 d'
_space_group_IT_number 230
_space_group_name_Hall '-I 4bd 2c 3'
loop_
_atom_site_label
_atom_site_type_symbol
_atom_site_fract_x
_atom_site_fract_y
_atom_site_fract_z
_atom_site_occupancy
Sm1 Sm 0.000 0.250 0.125 1
Te1 Te 0.000 0.000 0.000 1
Te2 Te 0.000 0.250 0.375 1
S1 S 0.011 0.067 0.654 1
# Crystal system: cubic
# E_tot, eV/atom: -4.43
# Raw formation energy, eV/atom: -0.46
# ρ, g/cm3: 4.5

---

(8)
# Sm3Te2S2, relaxed, DFT PBE-GGA
data_Sm3Te2S2
_chemical_formula_sum 'Sm6 Te4 S4'
_cell_length_a 16.855
_cell_length_b 4.080
_cell_length_c 6.385
_cell_angle_alpha 90.00
_cell_angle_beta 93.94
_cell_angle_gamma 90.00
_space_group_name_H-M_alt 'C 1 2/m 1'
_space_group_IT_number 12
loop_
_space_group_symop_operation_xyz
'x,y,z'
'-x,-y,-z'
'-x,y,-z'
'x,-y,z'
'x+1/2,y+1/2,z'
'-x+1/2,-y+1/2,-z'
'-x+1/2,y+1/2,-z'
'x+1/2,-y+1/2,z'
loop_
_atom_site_label
_atom_site_type_symbol
_atom_site_fract_x
_atom_site_fract_y
_atom_site_fract_z
_atom_site_occupancy
Sm1 Sm 0.000 0.000 0.000 1
Sm2 Sm 0.180 0.000 0.734 1
Te1 Te 0.176 0.000 0.241 1
S1 S 0.071 0.500 0.772 1
# Crystal system: monoclinic
# Energy above the most stable polymorph in this dataset, kJ/mol of atoms: 7.9
# E_tot, eV/atom: -5.76
# Raw formation energy, eV/atom: -1.66
# ρ, g/cm3: 5.8